A geometry-optimized Ir9RuW2 structure. Source: Alexandria via LeMat-Bulk, functional PBE.

Lattice parameters (Å, degrees): 3.8884 3.8884 11.6407 90.00 90.00 90.00
Element x y z (fractional)
1 Ir 0.5000 0.5000 0.0000
2 Ir 0.5000 0.5000 0.3337
3 Ir 0.5000 0.5000 0.6663
4 Ir 0.5000 0.0000 0.1674
5 Ir 0.5000 0.0000 0.5000
6 Ir 0.5000 0.0000 0.8326
7 Ir 0.0000 0.5000 0.1674
8 Ir 0.0000 0.5000 0.5000
9 Ir 0.0000 0.5000 0.8326
10 Ru 0.0000 0.0000 0.0000
11 W 0.0000 0.0000 0.3292
12 W 0.0000 0.0000 0.6708

Results
energy of formation	-0.19	eV per atom


A geometry-optimized SrBi3Pd2 structure. Source: Alexandria via LeMat-Bulk, functional PBE.

Lattice parameters (Å, degrees): 4.6911 9.7219 11.8795 109.07 90.00 103.96
Element x y z (fractional)
1 Sr 0.1592 0.3184 0.7027
2 Sr 0.8408 0.6816 0.2973
3 Sr 0.0000 0.0000 0.0000
4 Bi 0.0355 0.0710 0.3309
5 Bi 0.9645 0.9290 0.6691
6 Bi 0.2199 0.4399 0.3846
7 Bi 0.7801 0.5601 0.6154
8 Bi 0.6262 0.2524 0.1833
9 Bi 0.3738 0.7476 0.8167
10 Bi 0.5000 0.0000 0.5000
11 Bi 0.3286 0.6572 0.0505
12 Bi 0.6714 0.3428 0.9495
13 Pd 0.1958 0.3915 0.1179
14 Pd 0.8042 0.6085 0.8821
15 Pd 0.4752 0.9504 0.2077
16 Pd 0.5248 0.0496 0.7923
17 Pd 0.3628 0.7255 0.5651
18 Pd 0.6372 0.2745 0.4349

Results
energy of formation	-0.42	eV per atom


A geometry-optimized Th4ZrIn3 structure. Source: Alexandria via LeMat-Bulk, functional PBE.

Lattice parameters (Å, degrees): 3.5411 5.6970 11.4807 90.00 90.00 90.00
Element x y z (fractional)
1 Zr 0.5000 0.5000 0.0000
2 Th 0.0000 0.0000 0.5000
3 Th 0.0000 0.5000 0.7493
4 Th 0.0000 0.0000 0.0000
5 Th 0.0000 0.5000 0.2507
6 In 0.5000 0.0000 0.2464
7 In 0.5000 0.5000 0.5000
8 In 0.5000 0.0000 0.7536

Results
energy of formation	-0.13	eV per atom


A geometry-optimized TbPaV structure. Source: Alexandria via LeMat-Bulk, functional PBE.

Lattice parameters (Å, degrees): 3.3512 6.1182 7.7380 69.44 77.49 74.11
Element x y z (fractional)
1 Tb 0.3991 0.8211 0.3807
2 Tb 0.6009 0.1789 0.6193
3 Pa 0.1349 0.7395 0.9908
4 Pa 0.8651 0.2605 0.0092
5 V 0.8308 0.6033 0.7351
6 V 0.1692 0.3967 0.2649

Results
energy of formation	0.30	eV per atom


A geometry-optimized Hf2PC structure. Source: Alexandria via LeMat-Bulk, functional PBE.

Lattice parameters (Å, degrees): 5.5143 5.5143 6.4701 64.78 64.78 90.00
Element x y z (fractional)
1 P 0.0000 0.0000 0.0000
2 P 0.7500 0.2500 0.5000
3 C 0.5000 0.5000 0.0000
4 C 0.2500 0.7500 0.5000
5 Hf 0.5662 0.1250 0.2500
6 Hf 0.1838 0.6250 0.2500
7 Hf 0.3750 0.4338 0.7500
8 Hf 0.8750 0.8162 0.7500

Results
energy of formation	-0.52	eV per atom


A geometry-optimized SrY2Pb structure. Source: Alexandria via LeMat-Bulk, functional PBE.

Lattice parameters (Å, degrees): 5.7042 5.7042 5.7042 60.00 60.00 60.00
Each line ends with the local moment (μB).
Element x y z (fractional)
1 Pb 0.5000 0.5000 0.5000  -0.01
2 Sr 0.2500 0.2500 0.2500  0.04
3 Y 0.0000 0.0000 0.0000  0.33
4 Y 0.7500 0.7500 0.7500  0.24

Results
energy of formation	0.00	eV per atom


A geometry-optimized CaAlZnCd structure. Source: Alexandria via LeMat-Bulk, functional PBE.

Lattice parameters (Å, degrees): 4.9170 4.9170 4.9170 60.00 60.00 60.00
Element x y z (fractional)
1 Zn 0.5000 0.5000 0.5000
2 Al 0.2500 0.2500 0.2500
3 Ca 0.7500 0.7500 0.7500
4 Cd 0.0000 0.0000 0.0000

Results
energy of formation	-0.16	eV per atom


A geometry-optimized SmCdSn2 structure. Source: Alexandria via LeMat-Bulk, functional PBE.

Lattice parameters (Å, degrees): 4.9269 4.9269 5.8932 65.29 65.29 60.00
Element x y z (fractional)
1 Sn 0.7675 0.7675 0.6975
2 Sn 0.2325 0.2325 0.3025
3 Sm 0.0000 0.0000 0.0000
4 Cd 0.5000 0.5000 0.5000

Results
energy of formation	-0.25	eV per atom


A geometry-optimized Hg2WBr structure. Source: Alexandria via LeMat-Bulk, functional PBE.

Lattice parameters (Å, degrees): 2.8174 2.8174 12.7225 90.00 90.00 90.00
Element x y z (fractional)
1 Br 0.5000 0.5000 0.7500
2 Hg 0.0000 0.0000 0.0664
3 Hg 0.0000 0.0000 0.4336
4 W 0.5000 0.5000 0.2500

Results
calculated total energy	-3.074	eV/atom


A geometry-optimized NdErGa3 structure. Source: Alexandria via LeMat-Bulk, functional PBE.

Lattice parameters (Å, degrees): 4.2016 4.2772 12.9957 99.47 90.00 90.00
Element x y z (fractional)
1 Nd 0.2500 0.0740 0.1480
2 Nd 0.7500 0.9260 0.8520
3 Er 0.2500 0.7961 0.5921
4 Er 0.7500 0.2039 0.4079
5 Ga 0.2500 0.3787 0.7574
6 Ga 0.7500 0.6213 0.2426
7 Ga 0.2500 0.4757 0.9513
8 Ga 0.7500 0.5243 0.0487
9 Ga 0.7500 0.3218 0.6436
10 Ga 0.2500 0.6782 0.3564

Results
energy of formation	-0.66	eV per atom


A geometry-optimized CePmSn structure. Source: Alexandria via LeMat-Bulk, functional PBE.

Lattice parameters (Å, degrees): 4.1890 4.1890 5.7462 111.38 111.38 90.00
Each line ends with the local moment (μB).
Element x y z (fractional)
1 Sn 0.0004 0.0004 0.0007  -0.02
2 Ce 0.3489 0.3489 0.6978  0.57
3 Pm 0.6508 0.6508 0.3015  0.05

Results
energy of formation	-0.43	eV per atom


A geometry-optimized KIn3Rh structure. Source: Alexandria via LeMat-Bulk, functional PBE.

Lattice parameters (Å, degrees): 5.2307 5.2307 5.2307 90.00 90.00 90.00
Element x y z (fractional)
1 K 0.5000 0.5000 0.5000
2 Rh 0.0000 0.0000 0.0000
3 In 0.0000 0.5000 0.0000
4 In 0.0000 0.0000 0.5000
5 In 0.5000 0.0000 0.0000

Results
energy of formation	-0.23	eV per atom


A geometry-optimized Mo3Os structure. Source: Alexandria via LeMat-Bulk, functional PBE.

Lattice parameters (Å, degrees): 2.7625 3.9958 5.6460 90.00 90.00 90.00
Element x y z (fractional)
1 Mo 0.0000 0.0000 0.0070
2 Mo 0.0000 0.0000 0.4930
3 Mo 0.5000 0.5000 0.7500
4 Os 0.5000 0.5000 0.2500

Results
energy of formation	0.21	eV per atom


A geometry-optimized Ac5IrRh2N structure. Source: Alexandria via LeMat-Bulk, functional PBE.

Lattice parameters (Å, degrees): 4.4177 9.6138 12.4101 90.00 90.00 103.28
Element x y z (fractional)
1 Ac 0.3538 0.7076 0.0126
2 Ac 0.6697 0.3394 0.8794
3 Ac 0.4906 0.9811 0.7663
4 Ac 0.2835 0.5670 0.6939
5 Ac 0.9659 0.9319 0.5279
6 Ac 0.6462 0.2924 0.5126
7 Ac 0.3303 0.6606 0.3794
8 Ac 0.5094 0.0189 0.2663
9 Ac 0.7165 0.4330 0.1939
10 Ac 0.0341 0.0681 0.0279
11 Ir 0.8040 0.6079 0.5382
12 Ir 0.1960 0.3921 0.0382
13 Rh 0.8772 0.7543 0.7832
14 Rh 0.1103 0.2205 0.6812
15 Rh 0.1228 0.2457 0.2832
16 Rh 0.8897 0.7795 0.1812
17 N 0.5405 0.0811 0.9413
18 N 0.4595 0.9189 0.4413

Results
calculated total energy	-6.497	eV/atom


A geometry-optimized MgIn2Ge structure. Source: Alexandria via LeMat-Bulk, functional PBE.

Lattice parameters (Å, degrees): 3.7696 3.7696 6.6157 90.00 90.00 90.00
Element x y z (fractional)
1 Ge 0.5000 0.5000 0.5000
2 Mg 0.5000 0.5000 0.0000
3 In 0.0000 0.0000 0.7381
4 In 0.0000 0.0000 0.2619

Results
energy of formation	0.07	eV per atom


A geometry-optimized YTa2Ag structure. Source: Alexandria via LeMat-Bulk, functional PBE.

Lattice parameters (Å, degrees): 4.1196 4.1196 4.8496 90.00 90.00 90.00
Element x y z (fractional)
1 Ag 0.0000 0.5000 0.5000
2 Ta 0.0000 0.0000 0.0000
3 Ta 0.5000 0.5000 0.0000
4 Y 0.5000 0.0000 0.5000

Results
energy of formation	0.41	eV per atom


A geometry-optimized BaLiH6Pt2 structure. Source: Alexandria via LeMat-Bulk, functional PBE.

Lattice parameters (Å, degrees): 6.9290 6.9290 5.2698 100.87 100.87 91.41
Element x y z (fractional)
1 Ba 0.1492 0.8508 0.2500
2 Ba 0.8508 0.1492 0.7500
3 Li 0.5048 0.4952 0.2500
4 Li 0.4952 0.5048 0.7500
5 H 0.9670 0.2197 0.3060
6 H 0.7803 0.0330 0.1940
7 H 0.0330 0.7803 0.6940
8 H 0.2197 0.9670 0.8060
9 H 0.2549 0.2774 0.1393
10 H 0.7226 0.7451 0.3607
11 H 0.7451 0.7226 0.8607
12 H 0.2774 0.2549 0.6393
13 H 0.3182 0.5789 0.4799
14 H 0.4211 0.6818 0.0201
15 H 0.6818 0.4211 0.5201
16 H 0.5789 0.3182 0.9799
17 Pt 0.3889 0.1486 0.8978
18 Pt 0.8514 0.6111 0.6022
19 Pt 0.6111 0.8514 0.1022
20 Pt 0.1486 0.3889 0.3978

Results
calculated total energy	-4.012	eV/atom


A geometry-optimized NdCd6Ag2 structure. Source: Alexandria via LeMat-Bulk, functional PBE.

Lattice parameters (Å, degrees): 4.8596 9.6076 9.6076 69.56 90.00 90.00
Element x y z (fractional)
1 Nd 0.2500 0.1988 0.8012
2 Nd 0.7500 0.8012 0.1988
3 Cd 0.2500 0.7308 0.4506
4 Cd 0.2500 0.5494 0.2692
5 Cd 0.7500 0.2692 0.5494
6 Cd 0.7500 0.4506 0.7308
7 Cd 0.7500 0.0520 0.3817
8 Cd 0.7500 0.6183 0.9480
9 Cd 0.2500 0.9480 0.6183
10 Cd 0.2500 0.3817 0.0520
11 Cd 0.2500 0.8097 0.9632
12 Cd 0.2500 0.0368 0.1903
13 Cd 0.7500 0.1903 0.0368
14 Cd 0.7500 0.9632 0.8097
15 Ag 0.2500 0.6060 0.7643
16 Ag 0.2500 0.2357 0.3940
17 Ag 0.7500 0.3940 0.2357
18 Ag 0.7500 0.7643 0.6060

Results
energy of formation	-0.12	eV per atom